# 1
Density functional theory data (PBE) for Ba2HfPtS6 after structural relaxation.

Cell: 6.9168 6.9168 6.9168 Å, 120.00 120.00 60.00°
Last column: nearest neighbours and their distance in Å.
Sites, in units of the cell vectors:
Ba1 0.7500 0.7500 0.2500  12 S 3.46
Ba2 0.2500 0.2500 0.7500  12 S 3.46
Hf1 0.5000 0.5000 0.5000  6 S 2.50
Pt1 0.0000 0.0000 0.0000  6 S 2.39
S1 0.2447 0.2447 0.2447  1 Pt 2.39, 1 Hf 2.50
S2 0.7553 0.2447 0.2447  1 Pt 2.39, 1 Hf 2.50
S3 0.2447 0.7553 0.2447  1 Pt 2.39, 1 Hf 2.50
S4 0.7553 0.2447 0.7553  1 Pt 2.39, 1 Hf 2.50
S5 0.2447 0.7553 0.7553  1 Pt 2.39, 1 Hf 2.50
S6 0.7553 0.7553 0.7553  1 Pt 2.39, 1 Hf 2.50

Calculated values
The electronic total energy comes out at -5.704 eV/atom. The value obtained for the total moment is 0.0001 μB/atom.

---

# 2
Density functional theory data (PBE) for BaPuHf after structural relaxation.

Cell: 5.3182 5.3182 5.3182 Å, 60.00 60.00 60.00°
Last column: nearest neighbours and their distance in Å.
Sites, in units of the cell vectors:
Ba1 0.0000 0.0000 0.0000  4 Hf 3.26, 4 Pu 3.26
Hf1 0.2500 0.2500 0.2500  4 Ba 3.26
Pu1 0.7500 0.7500 0.7500  4 Ba 3.26

Calculated values
The electronic total energy comes out at -7.275 eV/atom. The value obtained for the total moment is 2.3076 μB/atom.

---

# 3
Density functional theory data (PBE) for BaPuHf after structural relaxation.

Cell: 5.3642 5.3642 5.3642 Å, 60.00 60.00 60.00°
Last column: nearest neighbours and their distance in Å.
Sites, in units of the cell vectors:
Ba1 0.2500 0.2500 0.2500  4 Pu 3.28
Hf1 0.7500 0.7500 0.7500  4 Pu 3.28
Pu1 0.0000 0.0000 0.0000  4 Ba 3.28, 4 Hf 3.28

Calculated values
The electronic total energy comes out at -7.403 eV/atom. The value obtained for the total moment is 2.3176 μB/atom.

---

# 4
Density functional theory data (PBE) for RbBaHf after structural relaxation.

Cell: 6.0972 6.0972 6.0972 Å, 60.00 60.00 60.00°
Last column: nearest neighbours and their distance in Å.
Sites, in units of the cell vectors:
Ba1 0.0000 0.0000 0.0000  4 Rb 3.73, 4 Hf 3.73
Hf1 0.2500 0.2500 0.2500  4 Ba 3.73
Rb1 0.7500 0.7500 0.7500  4 Ba 3.73

Calculated values
The electronic total energy comes out at -2.672 eV/atom. The value obtained for the total moment is 1.2391 μB/atom.

---

# 5
Density functional theory data (PBE) for BaHfRe after structural relaxation.

Cell: 4.7768 4.7768 4.7768 Å, 60.00 60.00 60.00°
Last column: nearest neighbours and their distance in Å.
Sites, in units of the cell vectors:
Ba1 0.0000 0.0000 0.0000  4 Re 2.93, 4 Hf 2.93
Hf1 0.2500 0.2500 0.2500  4 Ba 2.93
Re1 0.7500 0.7500 0.7500  4 Ba 2.93

Calculated values
The electronic total energy comes out at -5.812 eV/atom. The value obtained for the total moment is 0.2529 μB/atom.

---

# 6
Density functional theory data (PBE) for BaHfRe after structural relaxation.

Cell: 4.8429 4.8429 4.8429 Å, 60.00 60.00 60.00°
Last column: nearest neighbours and their distance in Å.
Sites, in units of the cell vectors:
Ba1 0.2500 0.2500 0.2500  4 Re 2.97
Hf1 0.7500 0.7500 0.7500  4 Re 2.97
Re1 0.0000 0.0000 0.0000  4 Ba 2.97, 4 Hf 2.97

Calculated values
The electronic total energy comes out at -7.090 eV/atom. The value obtained for the total moment is 0.0004 μB/atom.

---

# 7
Density functional theory data (PBE) for Ba2HfS4 after structural relaxation.

Cell: 8.6598 8.6598 8.6598 Å, 146.72 146.72 47.77°
Last column: nearest neighbours and their distance in Å.
Sites, in units of the cell vectors:
Ba1 0.3578 0.3578 0.0000  5 S 3.10-3.35
Ba2 0.6422 0.6422 0.0000  5 S 3.10-3.35
Hf1 0.0000 0.0000 0.0000  6 S 2.48-2.56
S1 0.1619 0.1619 0.0000  1 Hf 2.56
S2 0.8381 0.8381 0.0000  1 Hf 2.56
S3 0.5000 0.0000 0.5000  2 Hf 2.48
S4 0.0000 0.5000 0.5000  2 Hf 2.48

Calculated values
The electronic total energy comes out at -6.256 eV/atom. The value obtained for the total moment is 0.0005 μB/atom.

---

# 8
Density functional theory data (PBE) for Ba4Hf3S10 after structural relaxation.

Cell: 18.1701 18.1697 4.9914 Å, 82.11 82.10 15.79°
Last column: nearest neighbours and their distance in Å.
Sites, in units of the cell vectors:
Ba1 0.7001 0.7001 0.2999  5 S 3.12-3.31
Ba2 0.5676 0.5676 0.4324  12 S 3.47-3.57
Ba3 0.4324 0.4324 0.5676  12 S 3.47-3.57
Ba4 0.2999 0.2999 0.7001  5 S 3.12-3.31
Hf1 0.0000 0.0000 0.0000  6 S 2.50-2.51
Hf2 0.8574 0.8574 0.1426  6 S 2.49-2.58
Hf3 0.1426 0.1426 0.8574  6 S 2.49-2.58
S1 0.5000 0.5000 0.0000  2 Hf 2.50
S2 0.9297 0.9297 0.0703  2 Hf 2.51-2.58
S3 0.3608 0.3608 0.1392  2 Hf 2.50
S4 0.7876 0.7876 0.2124  1 Hf 2.49
S5 0.1392 0.1392 0.3608  2 Hf 2.50
S6 0.0000 0.0000 0.5000  2 Hf 2.50
S7 0.8608 0.8608 0.6392  2 Hf 2.50
S8 0.2124 0.2124 0.7876  1 Hf 2.49
S9 0.6392 0.6392 0.8608  2 Hf 2.50
S10 0.0703 0.0703 0.9297  2 Hf 2.51-2.58

Calculated values
The electronic total energy comes out at -6.506 eV/atom. The value obtained for the total moment is 0.0007 μB/atom.

---

# 9
Density functional theory data (PBE) for Ba2HfSbS6 after structural relaxation.

Cell: 7.1585 7.1585 7.1585 Å, 60.00 60.00 60.00°
Last column: nearest neighbours and their distance in Å.
Sites, in units of the cell vectors:
Ba1 0.2500 0.2500 0.2500  12 S 3.58
Ba2 0.7500 0.7500 0.7500  12 S 3.58
Hf1 0.0000 0.0000 0.0000  6 S 2.50
S1 0.7530 0.2470 0.2470  1 Hf 2.50, 1 Sb 2.56
S2 0.2470 0.7530 0.2470  1 Hf 2.50, 1 Sb 2.56
S3 0.7530 0.7530 0.2470  1 Hf 2.50, 1 Sb 2.56
S4 0.7530 0.2470 0.7530  1 Hf 2.50, 1 Sb 2.56
S5 0.2470 0.7530 0.7530  1 Hf 2.50, 1 Sb 2.56
S6 0.2470 0.2470 0.7530  1 Hf 2.50, 1 Sb 2.56
Sb1 0.5000 0.5000 0.5000  6 S 2.56

Calculated values
The electronic total energy comes out at -5.546 eV/atom. The value obtained for the total moment is 0.0002 μB/atom.

---

# 10
Density functional theory data (PBE) for Ba2HfSnS6 after structural relaxation.

Cell: 7.1013 7.1013 7.1013 Å, 60.00 60.00 60.00°
Last column: nearest neighbours and their distance in Å.
Sites, in units of the cell vectors:
Ba1 0.2500 0.2500 0.2500  12 S 3.55
Ba2 0.7500 0.7500 0.7500  12 S 3.55
Hf1 0.0000 0.0000 0.0000  6 S 2.50
S1 0.7509 0.2491 0.2491  1 Hf 2.50, 1 Sn 2.52
S2 0.2491 0.7509 0.2491  1 Hf 2.50, 1 Sn 2.52
S3 0.7509 0.7509 0.2491  1 Hf 2.50, 1 Sn 2.52
S4 0.2491 0.2491 0.7509  1 Hf 2.50, 1 Sn 2.52
S5 0.7509 0.2491 0.7509  1 Hf 2.50, 1 Sn 2.52
S6 0.2491 0.7509 0.7509  1 Hf 2.50, 1 Sn 2.52
Sn1 0.5000 0.5000 0.5000  6 S 2.52

Calculated values
The electronic total energy comes out at -5.606 eV/atom. The value obtained for the total moment is 0.0001 μB/atom.

---

# 11
Density functional theory data (PBE) for Ba2HfTcS6 after structural relaxation.

Cell: 6.9148 6.9148 6.9148 Å, 60.00 60.00 90.00°
Last column: nearest neighbours and their distance in Å.
Sites, in units of the cell vectors:
Ba1 0.2500 0.7500 0.5000  12 S 3.46
Ba2 0.7500 0.2500 0.5000  12 S 3.46
Hf1 0.5000 0.5000 0.0000  6 S 2.49
S1 0.7551 0.2449 0.0000  1 Tc 2.39, 1 Hf 2.49
S2 0.2449 0.2449 0.0000  1 Tc 2.39, 1 Hf 2.49
S3 0.2449 0.7551 0.0000  1 Tc 2.39, 1 Hf 2.49
S4 0.7551 0.7551 0.0000  1 Tc 2.39, 1 Hf 2.49
S5 0.7551 0.7551 0.4897  1 Tc 2.39, 1 Hf 2.49
S6 0.2449 0.2449 0.5103  1 Tc 2.39, 1 Hf 2.49
Tc1 0.0000 0.0000 0.0000  6 S 2.39

Calculated values
The electronic total energy comes out at -6.242 eV/atom. The value obtained for the total moment is 0.2284 μB/atom.

---

# 12
Density functional theory data (PBE) for Ba2HfWS6 after structural relaxation.

Cell: 6.9193 6.9193 6.9194 Å, 60.00 60.00 90.00°
Last column: nearest neighbours and their distance in Å.
Sites, in units of the cell vectors:
Ba1 0.2500 0.7500 0.5000  12 S 3.46
Ba2 0.7500 0.2500 0.5000  12 S 3.46
Hf1 0.5000 0.5000 0.0000  6 S 2.49
S1 0.2451 0.2451 0.0000  1 W 2.40, 1 Hf 2.49
S2 0.7549 0.2451 0.0000  1 W 2.40, 1 Hf 2.49
S3 0.2451 0.7549 0.0000  1 W 2.40, 1 Hf 2.49
S4 0.7549 0.7549 0.0000  1 W 2.40, 1 Hf 2.49
S5 0.7549 0.7549 0.4902  1 W 2.40, 1 Hf 2.49
S6 0.2451 0.2451 0.5098  1 W 2.40, 1 Hf 2.49
W1 0.0000 0.0000 0.0000  6 S 2.40

Calculated values
The electronic total energy comes out at -6.564 eV/atom. The value obtained for the total moment is 0.0040 μB/atom.

---

# 13
Density functional theory data (PBE) for BaHfSb after structural relaxation.

Cell: 5.2900 5.2900 5.2900 Å, 60.00 60.00 60.00°
Last column: nearest neighbours and their distance in Å.
Sites, in units of the cell vectors:
Ba1 0.2500 0.2500 0.2500  4 Sb 3.24
Hf1 0.7500 0.7500 0.7500  4 Sb 3.24
Sb1 0.0000 0.0000 0.0000  4 Hf 3.24, 4 Ba 3.24

Calculated values
The electronic total energy comes out at -5.099 eV/atom. The value obtained for the total moment is 0.6148 μB/atom.

---

# 14
Density functional theory data (PBE) for BaHfSc after structural relaxation.

Cell: 5.1028 5.1028 5.1028 Å, 60.00 60.00 60.00°
Last column: nearest neighbours and their distance in Å.
Sites, in units of the cell vectors:
Ba1 0.0000 0.0000 0.0000  4 Sc 3.12, 4 Hf 3.12
Hf1 0.2500 0.2500 0.2500  4 Ba 3.12
Sc1 0.7500 0.7500 0.7500  4 Ba 3.12

Calculated values
The electronic total energy comes out at -4.592 eV/atom. The value obtained for the total moment is 0.3411 μB/atom.

---

# 15
Density functional theory data (PBE) for BaHfSc2 after structural relaxation.

Cell: 5.3889 5.3889 5.3889 Å, 60.00 60.00 60.00°
Last column: nearest neighbours and their distance in Å.
Sites, in units of the cell vectors:
Ba1 0.5000 0.5000 0.5000  4 Hf 3.30, 4 Sc 3.30
Hf1 0.2500 0.2500 0.2500  4 Sc 3.30, 4 Ba 3.30
Sc1 0.0000 0.0000 0.0000  4 Hf 3.30, 4 Sc 3.30
Sc2 0.7500 0.7500 0.7500  4 Ba 3.30, 4 Sc 3.30

Calculated values
The electronic total energy comes out at -5.531 eV/atom. The value obtained for the total moment is 0.2497 μB/atom.

---

# 16
Density functional theory data (PBE) for BaHfSc after structural relaxation.

Cell: 5.3386 5.3386 5.3386 Å, 60.00 60.00 60.00°
Last column: nearest neighbours and their distance in Å.
Sites, in units of the cell vectors:
Ba1 0.2500 0.2500 0.2500  4 Sc 3.27
Hf1 0.7500 0.7500 0.7500  4 Sc 3.27
Sc1 0.0000 0.0000 0.0000  4 Ba 3.27, 4 Hf 3.27

Calculated values
The electronic total energy comes out at -4.852 eV/atom. The value obtained for the total moment is 1.2095 μB/atom.

---

# 17
Density functional theory data (PBE) for Ba3Hf2Se7 after structural relaxation.

Cell: 13.8662 13.8662 7.3697 Å, 90.00 90.00 149.18°
Last column: nearest neighbours and their distance in Å.
Sites, in units of the cell vectors:
Ba1 0.1789 0.3183 0.0000  5 Se 3.22-3.45
Ba2 0.0000 0.5000 0.0000  12 Se 3.65-3.69
Ba3 0.8211 0.6817 0.0000  5 Se 3.22-3.45
Ba4 0.5000 0.0000 0.5000  12 Se 3.65-3.69
Ba5 0.3183 0.1789 0.5000  5 Se 3.22-3.45
Ba6 0.6817 0.8211 0.5000  5 Se 3.22-3.45
Hf1 0.3987 0.1012 0.0000  6 Se 2.61-2.71
Hf2 0.6013 0.8988 0.0000  6 Se 2.61-2.71
Hf3 0.1012 0.3987 0.5000  6 Se 2.61-2.71
Hf4 0.8988 0.6013 0.5000  6 Se 2.61-2.71
Se1 0.5000 0.0000 0.0000  2 Hf 2.71
Se2 0.2988 0.1975 0.0000  1 Hf 2.62
Se3 0.7012 0.8025 0.0000  1 Hf 2.62
Se4 0.8456 0.1544 0.2500  2 Hf 2.61
Se5 0.6538 0.3462 0.2500  2 Hf 2.61
Se6 0.3462 0.6538 0.2500  2 Hf 2.61
Se7 0.1544 0.8456 0.2500  2 Hf 2.61
Se8 0.1975 0.2988 0.5000  1 Hf 2.62
Se9 0.0000 0.5000 0.5000  2 Hf 2.71
Se10 0.8025 0.7012 0.5000  1 Hf 2.62
Se11 0.8456 0.1544 0.7500  2 Hf 2.61
Se12 0.6538 0.3462 0.7500  2 Hf 2.61
Se13 0.3462 0.6538 0.7500  2 Hf 2.61
Se14 0.1544 0.8456 0.7500  2 Hf 2.61

Calculated values
The electronic total energy comes out at -5.855 eV/atom. The value obtained for the total moment is 0.0012 μB/atom.

---

# 18
Density functional theory data (PBE) for BaHfSn after structural relaxation.

Cell: 5.3746 5.3746 5.3746 Å, 60.00 60.00 60.00°
Last column: nearest neighbours and their distance in Å.
Sites, in units of the cell vectors:
Ba1 0.0000 0.0000 0.0000  4 Hf 3.29, 4 Sn 3.29
Hf1 0.2500 0.2500 0.2500  4 Ba 3.29
Sn1 0.7500 0.7500 0.7500  4 Ba 3.29

Calculated values
The electronic total energy comes out at -4.232 eV/atom. The value obtained for the total moment is 0.0170 μB/atom.

---

# 19
Density functional theory data (PBE) for BaHfSn after structural relaxation.

Cell: 5.3015 5.3015 5.3015 Å, 60.00 60.00 60.00°
Last column: nearest neighbours and their distance in Å.
Sites, in units of the cell vectors:
Ba1 0.2500 0.2500 0.2500  4 Sn 3.25
Hf1 0.7500 0.7500 0.7500  4 Sn 3.25
Sn1 0.0000 0.0000 0.0000  4 Hf 3.25, 4 Ba 3.25

Calculated values
The electronic total energy comes out at -4.917 eV/atom. The value obtained for the total moment is 0.3802 μB/atom.

---

# 20
Density functional theory data (PBE) for BaHfSn2 after structural relaxation.

Cell: 5.4319 5.4319 5.4319 Å, 60.00 60.00 60.00°
Last column: nearest neighbours and their distance in Å.
Sites, in units of the cell vectors:
Ba1 0.5000 0.5000 0.5000  4 Sn 3.33, 4 Hf 3.33
Hf1 0.2500 0.2500 0.2500  4 Sn 3.33, 4 Ba 3.33
Sn1 0.0000 0.0000 0.0000  4 Hf 3.33, 4 Sn 3.33
Sn2 0.7500 0.7500 0.7500  4 Ba 3.33, 4 Sn 3.33

Calculated values
The electronic total energy comes out at -4.637 eV/atom. The value obtained for the total moment is 0.0028 μB/atom.